# 1
Compound: TmTlGaTe3
Source: the Open Quantum Materials Database
Functional: PBE
Structure: relaxed

Lattice parameters (Å, degrees): 4.5177 15.2539 11.5050 90.00 90.00 90.00
Last column: nearest neighbours and their distance in Å.
Space group Cmcm (No. 63)
One atom of each set of equivalent atoms:
1 Tm 0.0000 0.0000 0.0000 x4  6 Te 3.10
2 Tl 0.0000 0.2462 0.2500 x4  8 Te 3.54-3.88, 2 Ga 3.92
3 Ga 0.0000 0.4642 0.7500 x4  4 Te 2.77-2.82
4 Te 0.0000 0.0750 0.7500 x4  2 Ga 2.82, 2 Tm 3.10
5 Te 0.0000 0.3655 0.5482 x8  1 Ga 2.77

Summary:
As for the crystal system: orthorhombic.

---

# 2
Compound: GaTeW
Source: the Open Quantum Materials Database
Functional: PBE
Structure: relaxed

Lattice parameters (Å, degrees): 6.4008 6.4008 6.4008 90.00 90.00 90.00
Last column: nearest neighbours and their distance in Å.
Space group F-43m (No. 216)
One atom of each set of equivalent atoms:
1 Ga 0.0000 0.0000 0.0000 x4  4 W 2.77
2 Te 0.0000 0.0000 0.5000 x4  4 W 2.77
3 W 0.2500 0.2500 0.2500 x4  4 Te 2.77, 4 Ga 2.77

Summary:
As for the crystal system: cubic.

---

# 3
Compound: GaTeW
Source: the Open Quantum Materials Database
Functional: PBE
Structure: relaxed

Lattice parameters (Å, degrees): 6.4319 6.4319 6.4319 90.00 90.00 90.00
Last column: nearest neighbours and their distance in Å.
Space group F-43m (No. 216)
One atom of each set of equivalent atoms:
1 Ga 0.0000 0.0000 0.0000 x4  4 Te 2.79
2 Te 0.2500 0.2500 0.2500 x4  4 W 2.79, 4 Ga 2.79
3 W 0.0000 0.0000 0.5000 x4  4 Te 2.79

Summary:
As for the crystal system: cubic.

---

# 4
Compound: ZnGa2Te4
Source: the Open Quantum Materials Database
Functional: PBE
Structure: relaxed

Lattice parameters (Å, degrees): 11.7343 11.7343 11.7343 90.00 90.00 90.00
Last column: nearest neighbours and their distance in Å.
Space group Fd-3m (No. 227, origin choice 2)
One atom of each set of equivalent atoms:
1 Zn 0.1250 0.1250 0.1250 x8  4 Te 2.70
2 Ga 0.0000 0.0000 0.5000 x16  6 Te 2.85
3 Te 0.0077 0.0077 0.7423 x32  1 Zn 2.70, 3 Ga 2.85

Summary:
As for the crystal system: cubic.

---

| no. | DFT total energy (eV/atom) |
| --- | --- |
| 1 | -3.894 |
| 2 | -5.641 |
| 3 | -5.204 |
| 4 | -3.039 |